Ac2CuNi4Ge3, optimized geometry, DFT PBE; E_tot = -54.5 eV for the cell shown; N(E_F) = 7.8 states/eV per cell; space-group type = P-4m2, No. 115; energy of formation = -0.520 eV/atom
1.0
-3.775 1.963 0.544
-1.750 -3.712 1.250
2.392 2.013 9.326
Ac Ni Ge Cu
2 4 3 1
Direct
0.500 0.000 0.253
0.000 0.500 0.747
0.000 0.500 0.373
0.000 0.000 0.000
0.500 0.500 0.000
0.500 0.000 0.627
0.500 0.000 0.879
0.000 0.000 0.500
0.000 0.500 0.121
0.500 0.500 0.500